Entry 1:
Na2MnSiNi: relaxed, PBE-GGA.

Magnetization   0.90 μB/atom
Uncorrected formation energy   0.60 eV/atom

Cell: 5.119 4.338 5.119 Å, 90.00 90.00 90.00°
Each line ends with the local moment (μB).
Fractional coordinates of all 5 atoms:
Ni: 0.000 0.000 0.000  0.03
Si: 0.000 0.500 0.000  -0.02
Mn: 0.500 0.500 0.500  4.29
Na: 0.000 0.000 0.500  -0.01
Na: 0.500 0.000 0.000  -0.01


Entry 2:
Sm8TlCu2: relaxed, PBE-GGA.

Magnetization   0.00 μB/atom
Formation energy from the elements   -0.039 eV per atom

Cell: 5.517 8.195 8.195 Å, 114.92 98.86 98.86°
Fractional coordinates of all 11 atoms:
Sm: 0.920 0.921 0.674
Sm: 0.920 0.674 0.921
Sm: 0.306 0.603 0.603
Sm: 0.500 0.757 0.243
Sm: 0.500 0.243 0.757
Sm: 0.694 0.397 0.397
Sm: 0.080 0.326 0.079
Sm: 0.080 0.079 0.326
Tl: 0.500 0.000 0.000
Cu: 0.000 0.308 0.692
Cu: 0.000 0.692 0.308


Entry 3:
Sr2Zn2Au15: relaxed, PBE-GGA.

Magnetization   0.00 μB/atom
Formation energy from the elements   -0.290 eV per atom

Cell: 7.358 7.358 7.358 Å, 82.41 82.41 82.41°
Fractional coordinates of all 19 atoms:
Sr: 0.342 0.342 0.342
Sr: 0.658 0.658 0.658
Zn: 0.096 0.096 0.096
Zn: 0.904 0.904 0.904
Au: 0.500 0.000 0.000
Au: 0.000 0.000 0.500
Au: 0.000 0.500 0.000
Au: 0.000 0.694 0.306
Au: 0.694 0.306 0.000
Au: 0.306 0.000 0.694
Au: 0.306 0.694 0.000
Au: 0.694 0.000 0.306
Au: 0.000 0.306 0.694
Au: 0.157 0.653 0.653
Au: 0.653 0.653 0.157
Au: 0.653 0.157 0.653
Au: 0.843 0.347 0.347
Au: 0.347 0.347 0.843
Au: 0.347 0.843 0.347


Entry 4:
Sr2GaCuTc: relaxed, PBE-GGA.

Magnetization   0.66 μB/atom
Formation energy from the elements   0.667 eV per atom

Cell: 5.715 4.553 5.715 Å, 90.00 90.00 90.00°
Each line ends with the local moment (μB).
Fractional coordinates of all 5 atoms:
Sr: 0.000 0.000 0.500  -0.02
Sr: 0.500 0.000 0.000  -0.01
Cu: 0.000 0.000 0.000  -0.01
Tc: 0.500 0.500 0.500  2.97
Ga: 0.000 0.500 0.000  -0.02


Entry 5:
La7PmNd12: relaxed, PBE-GGA.

Magnetization   0.00 μB/atom
Formation energy from the elements   0.194 eV per atom

Cell: 8.978 8.978 8.978 Å, 88.19 88.19 88.19°
Fractional coordinates of all 20 atoms:
La: 0.990 0.638 0.120
La: 0.362 0.880 0.010
La: 0.880 0.010 0.362
La: 0.500 0.500 0.500
La: 0.120 0.990 0.638
La: 0.638 0.120 0.990
La: 0.010 0.362 0.880
Pm: 0.000 0.000 0.000
Nd: 0.777 0.237 0.641
Nd: 0.763 0.359 0.223
Nd: 0.433 0.111 0.352
Nd: 0.889 0.648 0.567
Nd: 0.359 0.223 0.763
Nd: 0.648 0.567 0.889
Nd: 0.352 0.433 0.111
Nd: 0.641 0.777 0.237
Nd: 0.111 0.352 0.433
Nd: 0.567 0.889 0.648
Nd: 0.237 0.641 0.777
Nd: 0.223 0.763 0.359


Entry 6:
CeDyPu2: relaxed, PBE-GGA.

Magnetization   2.77 μB/atom
Formation energy from the elements   0.148 eV per atom

Cell: 3.354 3.354 9.464 Å, 90.00 90.00 90.00°
Each line ends with the local moment (μB).
Fractional coordinates of all 4 atoms:
Dy: 0.500 0.500 0.000  0.11
Ce: 0.500 0.500 0.500  -0.03
Pu: 0.000 0.000 0.729  5.24
Pu: 0.000 0.000 0.271  5.24


Entry 7:
TlTc2P: relaxed, PBE-GGA.

Magnetization   0.00 μB/atom
Formation energy from the elements   0.771 eV per atom

Cell: 3.130 4.261 5.020 Å, 90.00 90.00 90.00°
Fractional coordinates of all 4 atoms:
Tl: 0.500 0.500 0.000
Tc: 0.000 0.000 0.000
Tc: 0.500 0.000 0.500
P: 0.000 0.500 0.500


Entry 8:
LaPaRu4: relaxed, PBE-GGA.

Magnetization   0.00 μB/atom
Formation energy from the elements   -0.210 eV per atom

Cell: 5.378 5.378 5.378 Å, 60.00 60.00 60.00°
Fractional coordinates of all 6 atoms:
Ru: 0.625 0.625 0.124
Ru: 0.625 0.124 0.625
Ru: 0.625 0.625 0.625
Ru: 0.124 0.625 0.625
Pa: 0.000 0.000 0.000
La: 0.250 0.250 0.250